Entry 1:
A geometry-optimized VNiMo2 structure. Source: the Alexandria database, functional GGA-PBE.

Properties
DFT formation energy   54 kJ per mole of atoms
Uncorrected energy   -8.581 eV/atom
Total magnetic moment   0.0 μB per cell

a = 5.4709 Å, b = 5.4709 Å, c = 5.4709 Å
α = 102.79°, β = 102.79°, γ = 123.87°
Fractional positions:
V1 0.0000 0.0000 0.0000
V2 0.7500 0.2500 0.5000
Ni1 0.2500 0.7500 0.5000
Ni2 0.5000 0.5000 0.0000
Mo1 0.1356 0.6250 0.0106
Mo2 0.3750 0.3856 0.5106
Mo3 0.6144 0.1250 0.9894
Mo4 0.8750 0.8644 0.4894

Entry 2:
A geometry-optimized SrLi2CuPt structure. Source: the Alexandria database, functional GGA-PBE.

Properties
DFT formation energy   -20 kJ per mole of atoms
Uncorrected energy   -3.337 eV/atom
Total magnetic moment   0.0 μB per cell

a = 4.7138 Å, b = 4.7138 Å, c = 4.9785 Å
α = 90.00°, β = 90.00°, γ = 90.00°
Fractional positions:
Sr1 0.0000 0.0000 0.0000
Li1 0.0000 0.5000 0.5000
Li2 0.5000 0.0000 0.5000
Cu1 0.5000 0.5000 0.0000
Pt1 0.5000 0.5000 0.5000

Entry 3:
A geometry-optimized La2PdCl structure. Source: the Alexandria database, functional GGA-PBE.

Properties
Uncorrected energy   -5.155 eV/atom
Uncorrected formation energy   -21.5 kcal/mol of atoms
Total magnetic moment   1.0 μB per cell

a = 5.2158 Å, b = 5.2158 Å, c = 5.2158 Å
α = 60.00°, β = 60.00°, γ = 60.00°
Fractional positions:
La1 0.2500 0.2500 0.2500
La2 0.7500 0.7500 0.7500
Pd1 0.0000 0.0000 0.0000
Cl1 0.5000 0.5000 0.5000